No. 1
A relaxed MnHg2Au crystal. Source: the Alexandria database, functional PBE.

a = 3.266 Å, b = 3.134 Å, c = 9.102 Å
α = 61.29°, β = 90.00°, γ = 90.00°
Fractional positions:
Au1 0.500 0.748 0.715
Hg1 0.000 0.888 0.974
Hg2 0.500 0.345 0.288
Mn1 0.000 0.519 0.522

Spin magnetization   4.20 μB per formula unit
Formation energy from the elements   12 kJ per mole of atoms
Space group   Pm, No. 6
Total energy   -3.142 eV per atom
Energy above the most stable polymorph in this dataset   0 meV per atom



No. 2
A relaxed Mn3HgAu crystal. Source: the Alexandria database, functional PBE.

a = 5.006 Å, b = 5.006 Å, c = 5.006 Å
α = 90.00°, β = 90.00°, γ = 90.00°
Fractional positions:
Mn1 0.000 0.500 0.000
Mn2 0.000 0.000 0.500
Mn3 0.500 0.000 0.000
Au1 0.000 0.000 0.000
Hg1 0.500 0.500 0.500

Spin magnetization   13.49 μB per formula unit
Formation energy from the elements   82 kJ per mole of atoms
Space group   Pm-3m, No. 221
Total energy   -5.372 eV per atom
Energy above the most stable polymorph in this dataset   0 meV per atom



No. 3
A relaxed MnHg2Au crystal. Source: the Alexandria database, functional PBE.

a = 4.795 Å, b = 4.795 Å, c = 4.795 Å
α = 60.00°, β = 60.00°, γ = 60.00°
Fractional positions:
Au1 0.500 0.500 0.500
Hg1 0.000 0.000 0.000
Hg2 0.250 0.250 0.250
Mn1 0.750 0.750 0.750

Spin magnetization   4.22 μB per formula unit
Formation energy from the elements   20 kJ per mole of atoms
Space group   F-43m, No. 216
Total energy   -3.060 eV per atom
Energy above the most stable polymorph in this dataset   83 meV per atom



> Look up the energy above the most stable polymorph in this dataset of the second one.

0 meV per atom